Record 1
{"formula": "K2PaSe3F3", "functional": "PBE-GGA", "state": "relaxed", "lattice": [[8.667, 0.000, 0.000], [-4.334, 7.506, 0.000], [0.000, 0.000, 3.560]], "species": ["K", "K", "Pa", "Se", "Se", "Se", "F", "F", "F"], "fractional_positions": [[0.333, 0.667, 0.000], [0.667, 0.333, 0.000], [0.000, 0.000, 0.500], [0.000, 0.659, 0.500], [0.341, 0.341, 0.500], [0.659, 0.000, 0.500], [0.000, 0.170, 0.000], [0.170, 0.000, 0.000], [0.830, 0.830, 0.000]]}

Record 2
{"formula": "K2PaTlF8", "functional": "PBE-GGA", "state": "relaxed", "lattice": [[-3.030, 3.030, 6.136], [3.030, -3.030, 6.136], [3.030, 3.030, -6.136]], "species": ["K", "K", "Pa", "Tl", "F", "F", "F", "F", "F", "F", "F", "F"], "fractional_positions": [[0.000, 0.000, 0.000], [0.750, 0.250, 0.500], [0.250, 0.750, 0.500], [0.500, 0.500, 0.000], [0.140, 0.065, 0.495], [0.140, 0.645, 0.074], [0.355, 0.430, 0.495], [0.355, 0.860, 0.926], [0.570, 0.065, 0.926], [0.570, 0.645, 0.505], [0.935, 0.430, 0.074], [0.935, 0.860, 0.505]]}

Record 3
{"formula": "K2PbF5", "functional": "PBE-GGA", "state": "relaxed", "lattice": [[6.649, 0.000, 0.000], [0.000, 6.649, 0.000], [0.000, 0.000, 7.528]], "species": ["K", "K", "K", "K", "Pb", "Pb", "F", "F", "F", "F", "F", "F", "F", "F", "F", "F"], "fractional_positions": [[0.000, 0.500, 0.000], [0.000, 0.500, 0.500], [0.500, 0.000, 0.000], [0.500, 0.000, 0.500], [0.000, 0.000, 0.265], [0.500, 0.500, 0.765], [0.000, 0.000, 0.989], [0.236, 0.236, 0.266], [0.236, 0.764, 0.266], [0.264, 0.264, 0.766], [0.264, 0.736, 0.766], [0.500, 0.500, 0.489], [0.736, 0.264, 0.766], [0.736, 0.736, 0.766], [0.764, 0.236, 0.266], [0.764, 0.764, 0.266]]}

Record 4
{"formula": "K2PbF", "functional": "PBE-GGA", "state": "relaxed", "lattice": [[8.241, 0.000, 0.000], [0.000, 8.241, 0.000], [0.000, 0.000, 8.241]], "species": ["K", "K", "K", "K", "K", "K", "K", "K", "Pb", "Pb", "Pb", "Pb", "F", "F", "F", "F"], "fractional_positions": [[0.250, 0.250, 0.250], [0.250, 0.250, 0.750], [0.250, 0.750, 0.250], [0.250, 0.750, 0.750], [0.750, 0.250, 0.250], [0.750, 0.250, 0.750], [0.750, 0.750, 0.250], [0.750, 0.750, 0.750], [0.000, 0.000, 0.000], [0.000, 0.500, 0.500], [0.500, 0.000, 0.500], [0.500, 0.500, 0.000], [0.000, 0.000, 0.500], [0.000, 0.500, 0.000], [0.500, 0.000, 0.000], [0.500, 0.500, 0.500]]}

Record 5
{"formula": "K2Pb3F8", "functional": "PBE-GGA", "state": "relaxed", "lattice": [[8.036, 0.000, 0.000], [0.000, 4.176, 0.000], [-2.501, 0.000, 7.657]], "species": ["K", "K", "Pb", "Pb", "Pb", "F", "F", "F", "F", "F", "F", "F", "F"], "fractional_positions": [[0.236, 0.000, 0.264], [0.764, 0.000, 0.736], [0.206, 0.500, 0.705], [0.500, 0.000, 0.000], [0.794, 0.500, 0.295], [0.108, 0.500, 0.392], [0.153, 0.000, 0.869], [0.368, 0.000, 0.652], [0.390, 0.500, 0.111], [0.610, 0.500, 0.889], [0.632, 0.000, 0.348], [0.847, 0.000, 0.131], [0.892, 0.500, 0.608]]}

Record 6
{"formula": "K2PbF4", "functional": "PBE-GGA", "state": "relaxed", "lattice": [[12.656, 0.000, 0.000], [0.000, 3.808, 0.000], [-3.081, 0.000, 6.090]], "species": ["K", "K", "K", "K", "Pb", "Pb", "F", "F", "F", "F", "F", "F", "F", "F"], "fractional_positions": [[0.188, 0.000, 0.178], [0.312, 0.500, 0.822], [0.688, 0.500, 0.178], [0.812, 0.000, 0.822], [0.000, 0.500, 0.500], [0.500, 0.000, 0.500], [0.112, 0.500, 0.894], [0.136, 0.000, 0.516], [0.364, 0.500, 0.484], [0.388, 0.000, 0.106], [0.612, 0.000, 0.894], [0.636, 0.500, 0.516], [0.864, 0.000, 0.484], [0.888, 0.500, 0.106]]}

| no. | total DFT energy (no corrections) (eV/cell) |
| --- | --- |
| 1 | -45.2 |
| 2 | -67.9 |
| 3 | -67.5 |
| 4 | -40.8 |
| 5 | -60.0 |
| 6 | -62.6 |